1.
A plane-wave DFT calculation with PBE was carried out for a relaxed structure of PrErGa2Rh2.

Geometry as POSCAR:
```
PrErGa2Rh2
1.0
4.4193 0.0000 0.0000
-2.2097 3.8272 0.0000
0.0000 0.0000 7.2434
Pr Er Ga Rh
1 1 2 2
Direct
0.0000 0.0000 0.0000
0.0000 0.0000 0.5000
0.3333 0.6667 0.2746
0.6667 0.3333 0.7254
0.3333 0.6667 0.7028
0.6667 0.3333 0.2972
```

Results
Total energy, eV per cell: -34.94
E_form, eV per atom: -0.81
V, A^3/atom: 20.42

2.
A plane-wave DFT calculation with PBE was carried out for a relaxed structure of NaEr2Hg3.

Geometry as POSCAR:
```
NaEr2Hg3
1.0
3.6593 0.0000 0.0000
0.0000 3.6593 0.0000
0.0000 0.0000 11.4073
Na Er Hg
1 2 3
Direct
0.0000 0.0000 0.0000
0.0000 0.0000 0.3356
0.0000 0.0000 0.6644
0.5000 0.5000 0.1812
0.5000 0.5000 0.5000
0.5000 0.5000 0.8188
```

Results
Total energy, eV per cell: -13.67
E_form, eV per atom: -0.39
V, A^3/atom: 25.46